--- i ---
First-principles (GGA-PBE) data for an optimized crystal structure of Al2VCo2, as listed in Alexandria.

a = 6.9106 Å, b = 6.9106 Å, c = 2.6395 Å
α = 90.00°, β = 90.00°, γ = 90.00°
Positions (direct):
Al  0.1340  0.3660  0.0000
Al  0.3660  0.8660  0.0000
Al  0.6340  0.1340  0.0000
Al  0.8660  0.6340  0.0000
V  0.0000  0.0000  0.0000
V  0.5000  0.5000  0.0000
Co  0.1642  0.6642  0.5000
Co  0.3358  0.1642  0.5000
Co  0.6642  0.8358  0.5000
Co  0.8358  0.3358  0.5000


--- ii ---
First-principles (GGA-PBE) data for an optimized crystal structure of Al2VCo2, as listed in Alexandria.

a = 5.9911 Å, b = 5.9911 Å, c = 5.9911 Å
α = 145.35°, β = 145.35°, γ = 49.82°
Positions (direct):
Al  0.2500  0.7500  0.5000
Al  0.7500  0.2500  0.5000
V  0.0000  0.0000  0.0000
Co  0.3996  0.3996  0.0000
Co  0.6004  0.6004  0.0000


It is i that is the most stable of them.


--- i ---
First-principles (GGA-PBE) data for an optimized crystal structure of Al2CoW2, as listed in Alexandria.

a = 7.0359 Å, b = 7.0359 Å, c = 7.0359 Å
α = 150.22°, β = 150.22°, γ = 42.62°
Positions (direct):
Al  0.0940  0.0940  0.0000
Al  0.9060  0.9060  0.0000
Co  0.5000  0.5000  0.0000
W  0.2500  0.7500  0.5000
W  0.7500  0.2500  0.5000


--- ii ---
First-principles (GGA-PBE) data for an optimized crystal structure of Al2CoW2, as listed in Alexandria.

a = 5.9574 Å, b = 5.9574 Å, c = 4.1000 Å
α = 90.00°, β = 90.00°, γ = 90.00°
Positions (direct):
Al  0.1476  0.3524  0.0000
Al  0.3524  0.8524  0.0000
Al  0.6476  0.1476  0.0000
Al  0.8524  0.6476  0.0000
Co  0.0000  0.0000  0.0000
Co  0.5000  0.5000  0.0000
W  0.1564  0.6564  0.5000
W  0.3436  0.1564  0.5000
W  0.6564  0.8436  0.5000
W  0.8436  0.3436  0.5000


It is ii that is the most stable of them.


--- i ---
First-principles (GGA-PBE) data for an optimized crystal structure of Al2CoW, as listed in Alexandria.

a = 4.4104 Å, b = 4.4104 Å, c = 2.8537 Å
α = 90.00°, β = 90.00°, γ = 90.00°
Positions (direct):
Al  0.0000  0.5000  0.0000
Al  0.5000  0.0000  0.0000
Co  0.0000  0.0000  0.5000
W  0.5000  0.5000  0.5000


--- ii ---
First-principles (GGA-PBE) data for an optimized crystal structure of Al2CoW, as listed in Alexandria.

a = 2.7694 Å, b = 4.0859 Å, c = 5.1331 Å
α = 90.00°, β = 105.41°, γ = 90.00°
Positions (direct):
Al  0.0000  0.0000  0.0000
Al  0.3808  0.5000  0.7620
Co  0.1335  0.5000  0.2530
W  0.7370  0.0000  0.4737


It is i that is the most stable of them.


--- i ---
First-principles (GGA-PBE) data for an optimized crystal structure of Al2CoW, as listed in Alexandria.

a = 5.4303 Å, b = 5.4303 Å, c = 5.4303 Å
α = 103.14°, β = 103.14°, γ = 123.05°
Positions (direct):
Al  0.0843  0.6250  0.9593
Al  0.3750  0.3343  0.4593
Al  0.6657  0.1250  0.0407
Al  0.8750  0.9157  0.5407
Co  0.0000  0.0000  0.0000
Co  0.7500  0.2500  0.5000
W  0.2500  0.7500  0.5000
W  0.5000  0.5000  0.0000


--- ii ---
First-principles (GGA-PBE) data for an optimized crystal structure of Al2CoW, as listed in Alexandria.

a = 4.6910 Å, b = 4.6910 Å, c = 2.7430 Å
α = 90.00°, β = 90.00°, γ = 109.52°
Positions (direct):
Al  0.0000  0.5000  0.0000
Al  0.5000  0.0000  0.0000
Co  0.0000  0.0000  0.5000
W  0.5000  0.5000  0.5000


It is ii that is the most stable of them.


--- i ---
First-principles (GGA-PBE) data for an optimized crystal structure of Al2CoW, as listed in Alexandria.

a = 3.8609 Å, b = 3.8609 Å, c = 3.6872 Å
α = 90.00°, β = 90.00°, γ = 90.00°
Positions (direct):
Al  0.0000  0.5000  0.0000
Al  0.5000  0.0000  0.0000
Co  0.0000  0.0000  0.5000
W  0.5000  0.5000  0.5000


--- ii ---
First-principles (GGA-PBE) data for an optimized crystal structure of Al2CoW, as listed in Alexandria.

a = 2.7574 Å, b = 2.7574 Å, c = 7.1296 Å
α = 90.00°, β = 90.00°, γ = 90.00°
Positions (direct):
Al  0.0000  0.0000  0.2086
Al  0.0000  0.0000  0.7914
Co  0.5000  0.5000  0.0000
W  0.5000  0.5000  0.5000


--- iii ---
First-principles (GGA-PBE) data for an optimized crystal structure of Al2CoW, as listed in Alexandria.

a = 8.7005 Å, b = 8.7005 Å, c = 8.7005 Å
α = 18.54°, β = 18.54°, γ = 18.54°
Positions (direct):
Al  0.0000  0.0000  0.0000
Al  0.2423  0.2423  0.2423
Co  0.7419  0.7419  0.7419
W  0.4872  0.4872  0.4872


It is ii that is the most stable of them.


--- i ---
First-principles (GGA-PBE) data for an optimized crystal structure of Al2CoW, as listed in Alexandria.

a = 2.7250 Å, b = 4.0216 Å, c = 5.1827 Å
α = 90.00°, β = 100.95°, γ = 90.00°
Positions (direct):
Al  0.1616  0.0000  0.2632
Al  0.8384  0.0000  0.7368
Co  0.0000  0.5000  0.5000
W  0.5000  0.5000  0.0000


--- ii ---
First-principles (GGA-PBE) data for an optimized crystal structure of Al2CoW, as listed in Alexandria.

a = 4.8325 Å, b = 4.8325 Å, c = 4.8325 Å
α = 134.94°, β = 134.94°, γ = 65.63°
Positions (direct):
Al  0.0000  0.0000  0.0000
Al  0.7500  0.2500  0.5000
Co  0.2500  0.7500  0.5000
W  0.5000  0.5000  0.0000


--- iii ---
First-principles (GGA-PBE) data for an optimized crystal structure of Al2CoW, as listed in Alexandria.

a = 5.1234 Å, b = 5.1234 Å, c = 4.3435 Å
α = 111.97°, β = 111.97°, γ = 32.23°
Positions (direct):
Al  0.0000  0.0000  0.0000
Al  0.2181  0.2181  0.6978
Co  0.4977  0.4977  0.5035
W  0.7641  0.7641  0.2364


--- iv ---
First-principles (GGA-PBE) data for an optimized crystal structure of Al2CoW, as listed in Alexandria.

a = 4.3018 Å, b = 4.3018 Å, c = 4.3018 Å
α = 60.00°, β = 60.00°, γ = 60.00°
Positions (direct):
Al  0.0000  0.0000  0.0000
Al  0.2500  0.2500  0.2500
Co  0.5000  0.5000  0.5000
W  0.7500  0.7500  0.7500


It is iii that is the most stable of them.